Entry from Alexandria: Ba3InFe2O9 after structural relaxation (PBE+U).

The structure in POSCAR format:
```
Ba3InFe2O9
1.0
5.805 0.000 0.000
-2.903 5.028 0.000
0.000 0.000 7.119
O Ba Fe In
9 3 2 1
Direct
0.500 0.000 0.000 O
0.348 0.174 0.679 O
0.174 0.348 0.321 O
0.174 0.826 0.321 O
0.000 0.500 0.000 O
0.826 0.652 0.679 O
0.652 0.826 0.321 O
0.826 0.174 0.679 O
0.500 0.500 0.000 O
0.000 0.000 0.000 Ba
0.333 0.667 0.671 Ba
0.667 0.333 0.329 Ba
0.667 0.333 0.836 Fe
0.333 0.667 0.164 Fe
0.000 0.000 0.500 In
```

E: -91.7 eV per cell